# BaTc2Cl, relaxed, DFT PBE-GGA
data_BaTc2Cl
_cell_length_a 7.333
_cell_length_b 7.333
_cell_length_c 7.333
_cell_angle_alpha 149.41
_cell_angle_beta 149.41
_cell_angle_gamma 43.81
_symmetry_space_group_name_H-M 'P 1'
_symmetry_Int_Tables_number 1
_symmetry_space_group_name_Hall 'P 1'
loop_
_atom_site_label
_atom_site_type_symbol
_atom_site_fract_x
_atom_site_fract_y
_atom_site_fract_z
Ba1 Ba 0.000 0.000 0.000
Tc1 Tc 0.250 0.750 0.500
Tc2 Tc 0.750 0.250 0.500
Cl1 Cl 0.500 0.500 0.000
# Energy relative to the elements, uncorrected: 0.56 eV per atom
# Energy relative to the lowest polymorph listed for this composition: 0.5234 eV per atom

# Ba2TcCl, relaxed, DFT PBE-GGA
data_Ba2TcCl
_cell_length_a 5.489
_cell_length_b 6.318
_cell_length_c 6.318
_cell_angle_alpha 33.78
_cell_angle_beta 90.00
_cell_angle_gamma 90.00
_symmetry_space_group_name_H-M 'P 1'
_symmetry_Int_Tables_number 1
_symmetry_space_group_name_Hall 'P 1'
loop_
_atom_site_label
_atom_site_type_symbol
_atom_site_fract_x
_atom_site_fract_y
_atom_site_fract_z
Ba1 Ba 0.000 0.000 0.000
Ba2 Ba 0.500 0.256 0.256
Tc1 Tc 0.500 0.498 0.498
Cl1 Cl 0.000 0.739 0.739
# Energy relative to the elements, uncorrected: -0.21 eV per atom
# Energy relative to the lowest polymorph listed for this composition: 0.0174 eV per atom

Record order is preserved below.
D(E_F): 1.39; 0.43 states/eV per atom